# 1
A relaxed structure of Rb4CuF6, computed with PBE.

The calculation puts the total magnetization at 0.091 μB per atom. Its calculated total energy is -90.27 eV per cell. The uncorrected formation energy comes out at -2.36 eV per atom.

The space group is P4/mnc (No. 128) and the conventional cell measures 7.685, 7.685 and 7.830 Å, with angles of 90.00, 90.00 and 90.00 degrees. The inequivalent atoms are Rb at (0.169, 0.331, 0.250), Cu at (0.000, 0.000, 0.000), F at (0.000, 0.000, 0.242) and F at (0.092, 0.723, 0.000).

# 2
A relaxed structure of Rb2CuF7, computed with PBE.

The calculation puts the total magnetization at 0.000 μB per atom. Its calculated total energy is -73.29 eV per cell. The uncorrected formation energy comes out at -1.75 eV per atom.

The space group is I4/mmm (No. 139) and the conventional cell measures 6.103, 6.103 and 8.562 Å, with angles of 90.00, 90.00 and 90.00 degrees. The inequivalent atoms are Rb at (0.000, 0.500, 0.250), Cu at (0.000, 0.000, 0.000), F at (0.000, 0.000, 0.216), F at (0.000, 0.000, 0.500) and F at (0.213, 0.213, 0.000).

# 3
A relaxed structure of Rb2Cu2F5, computed with PBE.

The calculation puts the total magnetization at 0.000 μB per atom. Its calculated total energy is -37.43 eV per cell. The uncorrected formation energy comes out at -1.99 eV per atom.

The space group is P4/mmm (No. 123) and the conventional cell measures 4.061, 4.061 and 8.873 Å, with angles of 90.00, 90.00 and 90.00 degrees. The inequivalent atoms are Rb at (0.000, 0.000, 0.000), Rb at (0.000, 0.000, 0.500), Cu at (0.500, 0.500, 0.246), F at (0.000, 0.500, 0.273) and F at (0.500, 0.500, 0.000).